[1]
A plane-wave DFT calculation with PBE-GGA was carried out for ZnTcMo after structural relaxation.

The structure in POSCAR format:
```
ZnTcMo
1.0
4.401 0.000 0.000
-2.200 3.811 0.000
0.000 0.000 2.665
Zn Tc Mo
1 1 1
direct
0.000 0.000 0.000
0.667 0.333 0.642
0.333 0.667 0.393
```

Computed properties:
Crystal system   trigonal
Magnetization   0.00 μB per cell
Total energy   -7.445 eV/atom
ΔE_f   45.0 meV per atom

[2]
A plane-wave DFT calculation with PBE-GGA was carried out for ZnTcMo after structural relaxation.

The structure in POSCAR format:
```
ZnTcMo
1.0
0.000 2.209 6.659
1.544 0.000 6.659
1.544 2.209 0.000
Zn Tc Mo
1 1 1
direct
0.000 0.000 0.000
0.668 0.668 0.332
0.329 0.329 0.671
```

Computed properties:
Crystal system   orthorhombic
Magnetization   0.00 μB per cell
Total energy   -7.339 eV/atom
ΔE_f   151.8 meV per atom

[3]
A plane-wave DFT calculation with PBE-GGA was carried out for ZnTcMo2 after structural relaxation.

The structure in POSCAR format:
```
ZnTcMo2
1.0
2.807 0.000 0.000
0.000 3.970 0.000
0.000 0.000 5.441
Zn Tc Mo
1 1 2
direct
0.000 0.000 0.000
0.500 0.500 0.750
0.000 0.000 0.507
0.500 0.500 0.245
```

Computed properties:
Crystal system   orthorhombic
Magnetization   0.00 μB per cell
Total energy   -8.126 eV/atom
ΔE_f   199.4 meV per atom